First-principles (PBE-GGA) data for a relaxed structure of Tb2HoCuTe5, as listed in the Alexandria database.

Cell and atoms, written as POSCAR:
```
Tb2HoCuTe5
1.0
-2.455 1.729 2.987
-6.324 -4.918 -5.354
1.762 -10.384 7.458
Tb Ho Cu Te
4 2 2 10
Direct
0.876 0.752 0.804 Tb
0.109 0.218 0.684 Tb
0.124 0.248 0.304 Tb
0.891 0.782 0.184 Tb
0.811 0.621 0.509 Ho
0.189 0.379 0.009 Ho
0.571 0.142 0.960 Cu
0.429 0.858 0.460 Cu
0.355 0.710 0.999 Te
0.686 0.372 0.840 Te
0.499 0.999 0.787 Te
0.286 0.573 0.674 Te
0.960 0.921 0.567 Te
0.645 0.290 0.499 Te
0.314 0.628 0.340 Te
0.501 0.001 0.287 Te
0.714 0.427 0.174 Te
0.040 0.079 0.067 Te
```

Computed properties:
The space-group type is No. 36. The uncorrected formation energy is -1.13 eV/atom. The raw total energy comes out at -87.702 eV/cell. The total magnetic moment is 0.000 μB/f.u. The density is 7.7 g/cm3.